No. 1
Compound: ScCoTcSb
Source: Alexandria
Functional: PBE
Structure: relaxed

Results
- DOS(E_F) (states/eV/cell) = 0.3
- calculated volume (Å³ per atom) = 15.79
- E_form (uncorrected) (eV per atom) = -0.31

Cell: 4.4699 4.4699 4.4699 Å, 60.00 60.00 60.00°
With the nearest neighbours (Å) after each atom.
Atoms (fractional coordinates):
Tc (0.7500, 0.7500, 0.7500)  4 Sb 2.74, 4 Sc 2.74
Co (0.2500, 0.2500, 0.2500)  4 Sb 2.74, 4 Sc 2.74
Sb (0.5000, 0.5000, 0.5000)  4 Tc 2.74, 4 Co 2.74
Sc (0.0000, 0.0000, 0.0000)  4 Co 2.74, 4 Tc 2.74

***

No. 2
Compound: CoSbSe2
Source: Alexandria
Functional: PBE
Structure: relaxed

Results
- DOS(E_F) (states/eV/cell) = 2.5
- calculated volume (Å³ per atom) = 19.78
- E_form (uncorrected) (eV per atom) = -0.07

Cell: 3.4385 4.9271 5.2733 Å, 62.31 90.00 90.00°
With the nearest neighbours (Å) after each atom.
Atoms (fractional coordinates):
Se (0.0000, 0.0486, 0.0814)  2 Co 2.36, 1 Se 2.64
Se (0.0000, 0.4514, 0.4186)  2 Co 2.36, 1 Se 2.64
Co (0.5000, 0.2500, 0.2500)  4 Se 2.36
Sb (0.5000, 0.7500, 0.7500)  2 Co 2.64

***

No. 3
Compound: CoSb3Se
Source: Alexandria
Functional: PBE
Structure: relaxed

Results
- DOS(E_F) (states/eV/cell) = 6.0
- calculated volume (Å³ per atom) = 30.74
- E_form (uncorrected) (eV per atom) = 1.20
- energy above the most stable polymorph in this dataset (meV per atom) = 1199.4

Cell: 5.3566 5.3566 5.3566 Å, 90.00 90.00 90.00°
With the nearest neighbours (Å) after each atom.
Atoms (fractional coordinates):
Se (0.0000, 0.0000, 0.0000)  6 Sb 2.68
Sb (0.5000, 0.0000, 0.0000)  2 Se 2.68
Sb (0.0000, 0.5000, 0.0000)  2 Se 2.68
Sb (0.0000, 0.0000, 0.5000)  2 Se 2.68
Co (0.5000, 0.5000, 0.5000)  12 Sb 3.79

***

No. 4
Compound: CoSb2Se
Source: Alexandria
Functional: PBE
Structure: relaxed

Results
- DOS(E_F) (states/eV/cell) = 3.8
- calculated volume (Å³ per atom) = 20.64
- E_form (uncorrected) (eV per atom) = 0.46

Cell: 5.0016 5.0016 3.3413 Å, 90.00 90.00 98.95°
With the nearest neighbours (Å) after each atom.
Atoms (fractional coordinates):
Co (0.0000, 0.5000, 0.5000)  8 Sb 3.01, 2 Se 3.25, 2 Co 3.34
Sb (0.5000, 0.5000, 0.0000)  4 Co 3.01, 4 Se 3.01, 4 Sb 3.25-3.34
Sb (0.0000, 0.0000, 0.0000)  4 Se 3.01, 4 Co 3.01, 4 Sb 3.25-3.34
Se (0.5000, 0.0000, 0.5000)  8 Sb 3.01, 2 Co 3.25, 2 Se 3.34

***

No. 5
Compound: CoSb2Se
Source: Alexandria
Functional: PBE
Structure: relaxed

Results
- DOS(E_F) (states/eV/cell) = 2.9
- calculated volume (Å³ per atom) = 21.26
- E_form (uncorrected) (eV per atom) = -0.05

Cell: 3.6584 5.2044 5.2047 Å, 59.13 90.00 90.00°
With the nearest neighbours (Å) after each atom.
Atoms (fractional coordinates):
Se (0.0000, 0.5723, 0.5722)  2 Co 2.41
Sb (0.0000, 0.9409, 0.9409)  2 Co 2.54, 2 Se 2.83
Sb (0.5000, 0.2415, 0.2414)  2 Co 2.57
Co (0.5000, 0.7454, 0.7454)  2 Se 2.41, 4 Sb 2.54-2.57

***

No. 6
Compound: CoSbSe2
Source: Alexandria
Functional: PBE
Structure: relaxed

Results
- DOS(E_F) (states/eV/cell) = 3.1
- calculated volume (Å³ per atom) = 20.35
- E_form (uncorrected) (eV per atom) = 0.10

Cell: 6.4702 6.4702 6.4702 Å, 151.15 141.28 48.99°
With the nearest neighbours (Å) after each atom.
Atoms (fractional coordinates):
Co (0.5165, 0.5165, 0.0000)  2 Se 2.39
Se (0.6665, 0.1665, 0.5000)  2 Co 2.39
Se (0.9892, 0.9892, 0.0000)  4 Co 2.70, 2 Sb 2.87, 2 Se 2.99
Sb (0.3278, 0.8278, 0.5000)  2 Co 2.75, 2 Se 2.87

***

No. 7
Compound: CoSbSe2
Source: Alexandria
Functional: PBE
Structure: relaxed

Results
- DOS(E_F) (states/eV/cell) = 2.9
- calculated volume (Å³ per atom) = 20.57
- E_form (uncorrected) (eV per atom) = 0.22

Cell: 3.1028 2.9023 9.1357 Å, 90.00 90.00 90.00°
With the nearest neighbours (Å) after each atom.
Atoms (fractional coordinates):
Co (0.5000, 0.5000, 0.2500)  8 Se 2.58
Se (0.0000, 0.0000, 0.0889)  4 Co 2.58
Se (0.0000, 0.0000, 0.4111)  4 Co 2.58
Sb (0.5000, 0.5000, 0.7500)  4 Sb 2.90-3.10

***

No. 8
Compound: CoSbSe3
Source: Alexandria
Functional: PBE
Structure: relaxed

Results
- DOS(E_F) (states/eV/cell) = 5.9
- calculated volume (Å³ per atom) = 21.09
- E_form (uncorrected) (eV per atom) = 0.24

Cell: 4.7245 4.7245 4.7245 Å, 90.00 90.00 90.00°
With the nearest neighbours (Å) after each atom.
Atoms (fractional coordinates):
Sb (0.5000, 0.5000, 0.5000)  12 Se 3.34
Co (0.0000, 0.0000, 0.0000)  6 Se 2.36
Se (0.0000, 0.5000, 0.0000)  2 Co 2.36
Se (0.0000, 0.0000, 0.5000)  2 Co 2.36
Se (0.5000, 0.0000, 0.0000)  2 Co 2.36

***

> Which of these has the highest calculated volume?

CoSb3Se

***

> Which of these has the lowest E_form (uncorrected)?

ScCoTcSb